Entry from OQMD via LeMat-Bulk: GdGeTe3Pb after structural relaxation (GGA-PBE).

Unit cell a=7.8492 b=7.8492 c=11.1382 alpha=90.00 beta=90.00 gamma=147.38
Sites, in units of the cell vectors:
Gd: 0.0000 0.0000 0.0000
Gd: 0.0000 0.0000 0.5000
Ge: 0.4736 0.5264 0.7500
Ge: 0.5264 0.4736 0.2500
Te: 0.1058 0.8942 0.7500
Te: 0.3537 0.6463 0.5399
Te: 0.3537 0.6463 0.9601
Te: 0.6463 0.3537 0.0399
Te: 0.6463 0.3537 0.4601
Te: 0.8942 0.1058 0.2500
Pb: 0.2215 0.7785 0.2500
Pb: 0.7785 0.2215 0.7500

Properties
Total magnetization   0.01 μB per formula unit
V   370.0 Å³/cell
Total DFT energy (no corrections)   -51.1 eV for the cell shown


Entry from OQMD via LeMat-Bulk: Dy2Te4O11 after structural relaxation (GGA-PBE).

Unit cell a=6.6727 b=6.6727 c=15.9216 alpha=105.26 beta=105.26 gamma=44.88
Sites, in units of the cell vectors:
Dy: 0.1276 0.6341 0.9632
Dy: 0.3659 0.8724 0.5368
Dy: 0.6341 0.1276 0.4632
Dy: 0.8724 0.3659 0.0368
Te: 0.0937 0.6601 0.6299
Te: 0.0971 0.6507 0.2969
Te: 0.3399 0.9063 0.8701
Te: 0.3493 0.9029 0.2031
Te: 0.6507 0.0971 0.7969
Te: 0.6601 0.0937 0.1299
Te: 0.9029 0.3493 0.7031
Te: 0.9063 0.3399 0.3701
O: 0.0555 0.8953 0.4026
O: 0.1047 0.9445 0.0974
O: 0.1619 0.2531 0.9456
O: 0.1871 0.3118 0.6310
O: 0.2531 0.1619 0.4456
O: 0.2831 0.4115 0.8288
O: 0.3118 0.1871 0.1310
O: 0.3232 0.5405 0.5456
O: 0.3648 0.6352 0.2500
O: 0.4115 0.2831 0.3288
O: 0.4595 0.6768 0.9544
O: 0.5405 0.3232 0.0456
O: 0.5885 0.7169 0.6712
O: 0.6352 0.3648 0.7500
O: 0.6768 0.4595 0.4544
O: 0.6882 0.8129 0.8690
O: 0.7169 0.5885 0.1712
O: 0.7469 0.8381 0.5544
O: 0.8129 0.6882 0.3690
O: 0.8381 0.7469 0.0544
O: 0.8953 0.0555 0.9026
O: 0.9445 0.1047 0.5974

Properties
Total magnetization   0.00 μB per formula unit
V   479.5 Å³/cell
Total DFT energy (no corrections)   -215.2 eV for the cell shown


Entry from OQMD via LeMat-Bulk: Ho3ErTl2B2 after structural relaxation (GGA-PBE).

Unit cell a=3.6166 b=3.6166 c=16.8244 alpha=90.00 beta=90.00 gamma=120.00
Sites, in units of the cell vectors:
Ho: 0.0000 0.0000 0.0000
Ho: 0.0000 0.0000 0.3177
Ho: 0.6667 0.3333 0.8165
Er: 0.6667 0.3333 0.4999
Tl: 0.0000 0.0000 0.6578
Tl: 0.6667 0.3333 0.1587
B: 0.3333 0.6667 0.4091
B: 0.3333 0.6667 0.9084

Properties
Total magnetization   0.02 μB per formula unit
V   190.6 Å³/cell
Total DFT energy (no corrections)   -37.2 eV for the cell shown


Entry from OQMD via LeMat-Bulk: Y2CuSi2Ag after structural relaxation (GGA-PBE).

Unit cell a=7.7499 b=4.4522 c=14.7874 alpha=90.00 beta=99.67 gamma=90.00
Sites, in units of the cell vectors:
Y: 0.0000 0.0000 0.0000
Y: 0.0072 0.5000 0.4924
Y: 0.2352 0.0000 0.7361
Y: 0.2457 0.5000 0.2415
Y: 0.4814 0.0000 0.4840
Y: 0.4986 0.5000 0.9996
Y: 0.7431 0.0000 0.2368
Y: 0.7570 0.5000 0.7390
Cu: 0.0610 0.5000 0.6762
Cu: 0.0616 0.0000 0.1848
Cu: 0.3070 0.5000 0.4252
Cu: 0.5574 0.5000 0.1841
Si: 0.1208 0.5000 0.8627
Si: 0.1242 0.0000 0.3631
Si: 0.3633 0.5000 0.6110
Si: 0.3717 0.0000 0.1218
Si: 0.6115 0.5000 0.3623
Si: 0.6217 0.0000 0.8667
Si: 0.8743 0.5000 0.1224
Si: 0.8781 0.0000 0.6159
Ag: 0.3083 0.0000 0.9269
Ag: 0.5567 0.0000 0.6757
Ag: 0.8072 0.0000 0.4277
Ag: 0.8091 0.5000 0.9290

Properties
Total magnetization   0.00 μB per formula unit
V   503.0 Å³/cell
Total DFT energy (no corrections)   -131.3 eV for the cell shown


Entry from OQMD via LeMat-Bulk: Rb2Cd3O4 after structural relaxation (GGA-PBE).

Unit cell a=6.7140 b=5.7726 c=9.4443 alpha=90.00 beta=111.29 gamma=90.00
Sites, in units of the cell vectors:
Rb: 0.0000 0.0000 0.0000
Rb: 0.0000 0.0000 0.5000
Rb: 0.0000 0.4628 0.2500
Rb: 0.0000 0.5372 0.7500
Cd: 0.4945 0.2507 0.9284
Cd: 0.4945 0.7493 0.4284
Cd: 0.5000 0.2502 0.2500
Cd: 0.5000 0.7498 0.7500
Cd: 0.5055 0.2507 0.5716
Cd: 0.5055 0.7493 0.0716
O: 0.2937 0.0420 0.3405
O: 0.2937 0.9580 0.8405
O: 0.2957 0.4627 0.0546
O: 0.2957 0.5373 0.5546
O: 0.7043 0.4627 0.4454
O: 0.7043 0.5373 0.9454
O: 0.7063 0.0420 0.1595
O: 0.7063 0.9580 0.6595

Properties
V   341.0 Å³/cell
Total DFT energy (no corrections)   -67.9 eV for the cell shown


Entry from OQMD via LeMat-Bulk: BeCuTc after structural relaxation (GGA-PBE).

Unit cell a=3.7421 b=3.7421 c=3.7421 alpha=60.00 beta=60.00 gamma=60.00
Sites, in units of the cell vectors:
Be: 0.0000 0.0000 0.0000
Cu: 0.7500 0.7500 0.7500
Tc: 0.2500 0.2500 0.2500

Properties
Total magnetization   1.32 μB per formula unit
V   37.1 Å³/cell
Total DFT energy (no corrections)   -16.4 eV for the cell shown
Offset from the most stable computed form   0.000 eV per atom


Entry from OQMD via LeMat-Bulk: CdAgTe3As after structural relaxation (GGA-PBE).

Unit cell a=7.3839 b=7.3839 c=8.4743 alpha=102.86 beta=102.86 gamma=118.12
Sites, in units of the cell vectors:
Cd: 0.1893 0.8107 0.5000
Cd: 0.8107 0.1893 0.0000
Ag: 0.5161 0.5570 0.0520
Ag: 0.5570 0.5161 0.5520
Te: 0.1156 0.1380 0.8774
Te: 0.1380 0.1156 0.3774
Te: 0.3782 0.7796 0.8234
Te: 0.5229 0.7787 0.3703
Te: 0.7787 0.5229 0.8703
Te: 0.7796 0.3782 0.3234
As: 0.1865 0.8893 0.0307
As: 0.8893 0.1865 0.5307

Properties
V   367.3 Å³/cell
Total DFT energy (no corrections)   -37.4 eV for the cell shown


Entry from OQMD via LeMat-Bulk: BeNiBiPd after structural relaxation (GGA-PBE).

Unit cell a=4.4362 b=4.4362 c=4.4362 alpha=60.00 beta=60.00 gamma=60.00
Sites, in units of the cell vectors:
Be: 0.0000 0.0000 0.0000
Ni: 0.5000 0.5000 0.5000
Bi: 0.2500 0.2500 0.2500
Pd: 0.7500 0.7500 0.7500

Properties
Total magnetization   0.00 μB per formula unit
V   61.7 Å³/cell
Total DFT energy (no corrections)   -18.0 eV for the cell shown
Offset from the most stable computed form   0.031 eV per atom


Entry from OQMD via LeMat-Bulk: Sm3Sc3NiTe2 after structural relaxation (GGA-PBE).

Unit cell a=8.3102 b=8.3102 c=3.7604 alpha=90.00 beta=90.00 gamma=120.00
Sites, in units of the cell vectors:
Sm: 0.0000 0.2467 0.0000
Sm: 0.2467 0.0000 0.0000
Sm: 0.7533 0.7533 0.0000
Sc: 0.0000 0.5950 0.5000
Sc: 0.4050 0.4050 0.5000
Sc: 0.5950 0.0000 0.5000
Ni: 0.0000 0.0000 0.5000
Te: 0.3333 0.6667 0.0000
Te: 0.6667 0.3333 0.0000

Properties
Total magnetization   0.51 μB per formula unit
V   224.9 Å³/cell
Total DFT energy (no corrections)   -50.2 eV for the cell shown
Offset from the most stable computed form   0.161 eV per atom


Entry from OQMD via LeMat-Bulk: GdTlAsO after structural relaxation (GGA-PBE).

Unit cell a=4.2227 b=4.2227 c=9.6678 alpha=90.00 beta=90.00 gamma=90.00
Sites, in units of the cell vectors:
Gd: 0.2500 0.2500 0.1041
Gd: 0.7500 0.7500 0.8959
Tl: 0.2500 0.7500 0.5000
Tl: 0.7500 0.2500 0.5000
As: 0.2500 0.2500 0.7266
As: 0.7500 0.7500 0.2734
O: 0.2500 0.7500 0.0000
O: 0.7500 0.2500 0.0000

Properties
Total magnetization   0.07 μB per formula unit
V   172.4 Å³/cell
Total DFT energy (no corrections)   -44.6 eV for the cell shown
Offset from the most stable computed form   0.000 eV per atom


Entry from OQMD via LeMat-Bulk: Tm3In3Ag2Ir after structural relaxation (GGA-PBE).

Unit cell a=7.6463 b=7.6463 c=3.9666 alpha=90.00 beta=90.00 gamma=120.00
Sites, in units of the cell vectors:
Tm: 0.0000 0.3899 0.0000
Tm: 0.3899 0.0000 0.0000
Tm: 0.6101 0.6101 0.0000
In: 0.0000 0.7417 0.5000
In: 0.2583 0.2583 0.5000
In: 0.7417 0.0000 0.5000
Ag: 0.3333 0.6667 0.5000
Ag: 0.6667 0.3333 0.5000
Ir: 0.0000 0.0000 0.0000

Properties
Total magnetization   0.02 μB per formula unit
V   200.8 Å³/cell
Total DFT energy (no corrections)   -40.5 eV for the cell shown


Entry from OQMD via LeMat-Bulk: MgGa4W after structural relaxation (GGA-PBE).

Unit cell a=4.5229 b=4.5229 c=5.5746 alpha=90.00 beta=90.00 gamma=120.00
Sites, in units of the cell vectors:
Mg: 0.0000 0.0000 0.0000
Ga: 0.3333 0.6667 0.2599
Ga: 0.3333 0.6667 0.7401
Ga: 0.6667 0.3333 0.2599
Ga: 0.6667 0.3333 0.7401
W: 0.0000 0.0000 0.5000

Properties
Total magnetization   0.84 μB per formula unit
V   98.8 Å³/cell
Total DFT energy (no corrections)   -25.4 eV for the cell shown